DFT (PBE) results for a geometry-optimized NdGa2Ag4 structure.

For the energy of formation, the calculation gives -0.267 eV per atom. The value obtained for the spin magnetization is 0.00 μB/f.u. Its density of states at the Fermi level is 3.484 states/eV/f.u.

The structure belongs to space group Cmmm (No. 65); the cell edges are 4.3064, 15.0801 and 4.3039 Å and the angles 90.00°, 90.00° and 90.00°. The asymmetric unit holds Nd at (0.0000, 0.0000, 0.0000), Ga at (0.0000, 0.4186, 0.5000), Ag at (0.0000, 0.1832, 0.5000) and Ag at (0.0000, 0.3173, 0.0000).

---

DFT (PBE) results for a geometry-optimized Ca10Bi4O3 structure.

The value obtained for the spin magnetization is 0.00 μB/f.u. For the formation energy from raw total energies, the calculation gives -1.53 eV per atom. Its density of states at the Fermi level is 5.671 states/eV/f.u.

The structure belongs to space group I4/mmm (No. 139); the cell edges are 4.7803, 4.7803 and 37.6621 Å and the angles 90.00°, 90.00° and 90.00°. The asymmetric unit holds Ca at (0.0000, 0.0000, 0.0677), Ca at (0.0000, 0.0000, 0.2151), Ca at (0.0000, 0.5000, 0.0000), Ca at (0.0000, 0.5000, 0.1359), Bi at (0.0000, 0.0000, 0.3016), Bi at (0.0000, 0.0000, 0.4332), O at (0.0000, 0.0000, 0.0000) and O at (0.0000, 0.0000, 0.1291).

---

DFT (PBE) results for a geometry-optimized ZrTiFeRe structure.

For the energy of formation, the calculation gives -0.236 eV per atom. The value obtained for the spin magnetization is 0.28 μB/f.u. Its density of states at the Fermi level is 2.658 states/eV/f.u.

The structure belongs to space group F-43m (No. 216); the cell edges are 6.3083, 6.3083 and 6.3083 Å and the angles 90.00°, 90.00° and 90.00°. The asymmetric unit holds Zr at (0.0000, 0.0000, 0.0000), Ti at (0.0000, 0.0000, 0.5000), Fe at (0.2500, 0.2500, 0.7500) and Re at (0.2500, 0.2500, 0.2500).

---

DFT (PBE) results for a geometry-optimized Pm2PrNd4Dy structure.

For the energy of formation, the calculation gives 0.016 eV per atom. The value obtained for the spin magnetization is 0.00 μB/f.u. Its density of states at the Fermi level is 12.454 states/eV/f.u.

The structure belongs to space group P2/m (No. 10); the cell edges are 6.3280, 3.6693 and 12.1514 Å and the angles 90.00°, 100.28° and 90.00°. The asymmetric unit holds Pm at (0.0000, 0.0000, 0.0000), Pm at (0.0000, 0.5000, 0.5000), Pr at (0.5000, 0.0000, 0.5000), Nd at (0.2490, 0.5000, 0.2477), Nd at (0.2512, 0.0000, 0.7526) and Dy at (0.5000, 0.5000, 0.0000).

---

DFT (PBE) results for a geometry-optimized Ac4GaPS2 structure.

The value obtained for the spin magnetization is 0.00 μB/f.u. For the formation energy from raw total energies, the calculation gives -1.46 eV per atom. Its density of states at the Fermi level is 3.634 states/eV/f.u.

The structure belongs to space group P2/m (No. 10); the cell edges are 7.6830, 4.3869 and 7.7693 Å and the angles 90.00°, 109.24° and 90.00°. The asymmetric unit holds Ac at (0.2469, 0.0000, 0.2437), Ac at (0.2531, 0.5000, 0.7554), Ga at (0.5000, 0.5000, 0.5000), P at (0.5000, 0.0000, 0.0000), S at (0.0000, 0.0000, 0.5000) and S at (0.0000, 0.5000, 0.0000).

---

DFT (PBE) results for a geometry-optimized KPbNF2 structure.

The value obtained for the spin magnetization is 0.79 μB/f.u. For the formation energy from raw total energies, the calculation gives -1.05 eV per atom. Its density of states at the Fermi level is 3.813 states/eV/f.u.

The structure belongs to space group P4/mmm (No. 123); the cell edges are 4.7592, 4.7592 and 4.3217 Å and the angles 90.00°, 90.00° and 90.00°. The asymmetric unit holds K at (0.0000, 0.0000, 0.0000), Pb at (0.5000, 0.5000, 0.5000), N at (0.5000, 0.5000, 0.0000) and F at (0.0000, 0.5000, 0.5000).

---

DFT (PBE) results for a geometry-optimized Eu3Th structure.

For the energy of formation, the calculation gives 0.237 eV per atom. The value obtained for the spin magnetization is 22.52 μB/f.u. Its density of states at the Fermi level is 5.518 states/eV/f.u.

The structure belongs to space group Pm-3m (No. 221); the cell edges are 5.3038, 5.3038 and 5.3038 Å and the angles 90.00°, 90.00° and 90.00°. The asymmetric unit holds Eu at (0.0000, 0.0000, 0.5000) and Th at (0.5000, 0.5000, 0.5000).

---

DFT (PBE) results for a geometry-optimized KPt structure.

For the energy of formation, the calculation gives -0.011 eV per atom. The value obtained for the spin magnetization is 0.00 μB/f.u. Its density of states at the Fermi level is 1.474 states/eV/f.u.

The structure belongs to space group Pmmn (No. 59, origin choice 2); the cell edges are 2.9197, 4.4564 and 9.5555 Å and the angles 90.00°, 90.00° and 90.00°. The asymmetric unit holds K at (0.2500, 0.2500, 0.2225) and Pt at (0.2500, 0.7500, 0.4827).

---

> Look up the spin magnetization of the third one.

0.28 μB/f.u.

---

> spin magnetization of number 8 (KPt)?

0.00 μB/f.u.

---

> What is the spin magnetization in the eighth record?

0.00 μB/f.u.